Entry 1:
A relaxed PaZn2Co2 crystal, computed with PBE.

Volume ... 16.289 A^3/atom
Energy relative to the lowest polymorph listed for this composition ... 23 meV per atom
Calculated total energy ... -5.443 eV/atom
Crystal system ... monoclinic

```
data_PaZn2Co2
_cell_length_a 7.322
_cell_length_b 4.490
_cell_length_c 4.960
_cell_angle_alpha 90.00
_cell_angle_beta 92.61
_cell_angle_gamma 90.00
_space_group_name_H-M_alt 'C 1 2/m 1'
_space_group_IT_number 12
_space_group_name_Hall '-C 2y'
loop_
_atom_site_label
_atom_site_type_symbol
_atom_site_fract_x
_atom_site_fract_y
_atom_site_fract_z
Pa1 Pa 0.000 0.000 0.000
Zn1 Zn 0.167 0.500 0.395
Co1 Co 0.170 0.500 0.887
```

---

Entry 2:
A relaxed ZnH2I crystal, computed with PBE.

Volume ... 18.784 A^3/atom
Energy relative to the lowest polymorph listed for this composition ... 0 meV per atom
Calculated total energy ... -2.216 eV/atom
Crystal system ... triclinic

```
data_ZnH2I
_cell_length_a 2.985
_cell_length_b 6.268
_cell_length_c 8.390
_cell_angle_alpha 106.79
_cell_angle_beta 90.12
_cell_angle_gamma 90.01
_space_group_name_H-M_alt 'P -1'
_space_group_IT_number 2
_space_group_name_Hall '-P 1'
loop_
_atom_site_label
_atom_site_type_symbol
_atom_site_fract_x
_atom_site_fract_y
_atom_site_fract_z
Zn1 Zn 0.001 0.093 0.156
H1 H 0.000 0.186 0.980
H2 H 0.499 0.874 0.743
I1 I 0.001 0.639 0.314
```

---

Entry 3:
A relaxed Pr3Ho crystal, computed with PBE.

Volume ... 35.037 A^3/atom
Energy relative to the lowest polymorph listed for this composition ... 115 meV per atom
Calculated total energy ... -4.600 eV/atom
Crystal system ... cubic

```
data_Pr3Ho
_cell_length_a 8.245
_cell_length_b 8.245
_cell_length_c 8.245
_cell_angle_alpha 90.00
_cell_angle_beta 90.00
_cell_angle_gamma 90.00
_space_group_name_H-M_alt 'F m -3 m'
_space_group_IT_number 225
_space_group_name_Hall '-F 4 2 3'
loop_
_atom_site_label
_atom_site_type_symbol
_atom_site_fract_x
_atom_site_fract_y
_atom_site_fract_z
Pr1 Pr 0.000 0.000 0.000
Pr2 Pr 0.250 0.250 0.250
Ho1 Ho 0.000 0.000 0.500
```

---

Entry 4:
A relaxed Th2CdPd crystal, computed with PBE.

Volume ... 25.500 A^3/atom
Energy relative to the lowest polymorph listed for this composition ... 53 meV per atom
Calculated total energy ... -5.539 eV/atom
Crystal system ... tetragonal

```
data_Th2CdPd
_cell_length_a 4.830
_cell_length_b 4.830
_cell_length_c 4.371
_cell_angle_alpha 90.00
_cell_angle_beta 90.00
_cell_angle_gamma 90.00
_space_group_name_H-M_alt 'P 4/m m m'
_space_group_IT_number 123
_space_group_name_Hall '-P 4 2'
loop_
_atom_site_label
_atom_site_type_symbol
_atom_site_fract_x
_atom_site_fract_y
_atom_site_fract_z
Th1 Th 0.000 0.500 0.000
Cd1 Cd 0.000 0.000 0.500
Pd1 Pd 0.500 0.500 0.500
```

---

Entry 5:
A relaxed BaEr2P2N6 crystal, computed with PBE.

Volume ... 16.600 A^3/atom
Calculated total energy ... -7.495 eV/atom
Crystal system ... triclinic
Formation energy (no corrections) ... -966 meV/atom

```
data_BaEr2P2N6
_cell_length_a 6.002
_cell_length_b 6.018
_cell_length_c 6.348
_cell_angle_alpha 112.75
_cell_angle_beta 97.17
_cell_angle_gamma 113.71
_space_group_name_H-M_alt 'P -1'
_space_group_IT_number 2
_space_group_name_Hall '-P 1'
loop_
_atom_site_label
_atom_site_type_symbol
_atom_site_fract_x
_atom_site_fract_y
_atom_site_fract_z
Ba1 Ba 0.000 0.000 0.000
Er1 Er 0.298 0.367 0.670
P1 P 0.256 0.702 0.282
N1 N 0.142 0.901 0.384
N2 N 0.287 0.525 0.404
N3 N 0.356 0.664 0.057
```

---

Entry 6:
A relaxed Ca3Pr2Mg4 crystal, computed with PBE.

Volume ... 33.247 A^3/atom
Energy relative to the lowest polymorph listed for this composition ... 125 meV per atom
Calculated total energy ... -2.361 eV/atom
Crystal system ... orthorhombic

```
data_Ca3Pr2Mg4
_cell_length_a 6.847
_cell_length_b 20.617
_cell_length_c 8.479
_cell_angle_alpha 90.00
_cell_angle_beta 90.00
_cell_angle_gamma 90.00
_space_group_name_H-M_alt 'C m c e'
_space_group_IT_number 64
_space_group_name_Hall '-C 2ac 2'
loop_
_atom_site_label
_atom_site_type_symbol
_atom_site_fract_x
_atom_site_fract_y
_atom_site_fract_z
Ca1 Ca 0.000 0.000 0.000
Ca2 Ca 0.250 0.245 0.250
Pr1 Pr 0.000 0.086 0.610
Mg1 Mg 0.000 0.153 0.983
Mg2 Mg 0.250 0.082 0.250
```

---

Entry 7:
A relaxed Tl2IrPdBr crystal, computed with PBE.

Volume ... 29.445 A^3/atom
Calculated total energy ... -3.250 eV/atom
Crystal system ... tetragonal
Formation energy (no corrections) ... 842 meV/atom

```
data_Tl2IrPdBr
_cell_length_a 5.457
_cell_length_b 5.457
_cell_length_c 4.944
_cell_angle_alpha 90.00
_cell_angle_beta 90.00
_cell_angle_gamma 90.00
_space_group_name_H-M_alt 'P 4/m m m'
_space_group_IT_number 123
_space_group_name_Hall '-P 4 2'
loop_
_atom_site_label
_atom_site_type_symbol
_atom_site_fract_x
_atom_site_fract_y
_atom_site_fract_z
Tl1 Tl 0.000 0.500 0.000
Ir1 Ir 0.000 0.000 0.500
Pd1 Pd 0.500 0.500 0.000
Br1 Br 0.500 0.500 0.500
```

---

Entry 8:
A relaxed Ba2BiOs crystal, computed with PBE.

Volume ... 45.569 A^3/atom
Calculated total energy ... -4.522 eV/atom
Crystal system ... tetragonal

```
data_Ba2BiOs
_cell_length_a 11.786
_cell_length_b 11.786
_cell_length_c 5.249
_cell_angle_alpha 90.00
_cell_angle_beta 90.00
_cell_angle_gamma 90.00
_space_group_name_H-M_alt 'I -4 2 d'
_space_group_IT_number 122
_space_group_name_Hall 'I -4 2bw'
loop_
_atom_site_label
_atom_site_type_symbol
_atom_site_fract_x
_atom_site_fract_y
_atom_site_fract_z
Ba1 Ba 0.079 0.250 0.125
Bi1 Bi 0.000 0.000 0.500
Os1 Os 0.000 0.000 0.000
```

---

Entry 9:
A relaxed AlB3Mo crystal, computed with PBE.

Volume ... 12.093 A^3/atom
Energy relative to the lowest polymorph listed for this composition ... 618 meV per atom
Calculated total energy ... -4.995 eV/atom
Crystal system ... cubic

```
data_AlB3Mo
_cell_length_a 3.925
_cell_length_b 3.925
_cell_length_c 3.925
_cell_angle_alpha 90.00
_cell_angle_beta 90.00
_cell_angle_gamma 90.00
_space_group_name_H-M_alt 'P m -3 m'
_space_group_IT_number 221
_space_group_name_Hall '-P 4 2 3'
loop_
_atom_site_label
_atom_site_type_symbol
_atom_site_fract_x
_atom_site_fract_y
_atom_site_fract_z
Al1 Al 0.000 0.000 0.000
B1 B 0.000 0.000 0.500
Mo1 Mo 0.500 0.500 0.500
```

---

Entry 10:
A relaxed Pm2Si3Au6 crystal, computed with PBE.

Volume ... 20.217 A^3/atom
Calculated total energy ... -4.688 eV/atom
Crystal system ... hexagonal
Formation energy (no corrections) ... -557 meV/atom

```
data_Pm2Si3Au6
_cell_length_a 7.6737
_cell_length_b 7.6737
_cell_length_c 4.3609
_cell_angle_alpha 90.00
_cell_angle_beta 90.00
_cell_angle_gamma 120.00
_space_group_name_H-M_alt 'P -6 2 m'
_space_group_IT_number 189
_space_group_name_Hall 'P -6 -2'
loop_
_atom_site_label
_atom_site_type_symbol
_atom_site_fract_x
_atom_site_fract_y
_atom_site_fract_z
Pm1 Pm 0.3333 0.6667 0.0000
Si1 Si 0.0000 0.3548 0.5000
Au1 Au 0.0000 0.2142 0.0000
Au2 Au 0.0000 0.6721 0.5000
```

---

Entry 11:
A relaxed TiGePb3 crystal, computed with PBE.

Volume ... 31.737 A^3/atom
Energy relative to the lowest polymorph listed for this composition ... 0 meV per atom
Calculated total energy ... -4.201 eV/atom
Crystal system ... cubic

```
data_TiGePb3
_cell_length_a 5.414
_cell_length_b 5.414
_cell_length_c 5.414
_cell_angle_alpha 90.00
_cell_angle_beta 90.00
_cell_angle_gamma 90.00
_space_group_name_H-M_alt 'P m -3 m'
_space_group_IT_number 221
_space_group_name_Hall '-P 4 2 3'
loop_
_atom_site_label
_atom_site_type_symbol
_atom_site_fract_x
_atom_site_fract_y
_atom_site_fract_z
Ti1 Ti 0.000 0.000 0.000
Ge1 Ge 0.500 0.500 0.500
Pb1 Pb 0.000 0.000 0.500
```

---

Entry 12:
A relaxed LiGa3Cu2 crystal, computed with PBE.

Volume ... 14.641 A^3/atom
Energy relative to the lowest polymorph listed for this composition ... 29 meV per atom
Calculated total energy ... -3.297 eV/atom
Crystal system ... trigonal

```
data_LiGa3Cu2
_cell_length_a 5.6844
_cell_length_b 5.6844
_cell_length_c 6.2783
_cell_angle_alpha 90.00
_cell_angle_beta 90.00
_cell_angle_gamma 120.00
_space_group_name_H-M_alt 'P -3 m 1'
_space_group_IT_number 164
_space_group_name_Hall '-P 3 2"'
loop_
_atom_site_label
_atom_site_type_symbol
_atom_site_fract_x
_atom_site_fract_y
_atom_site_fract_z
Li1 Li 0.3333 0.6667 0.3296
Ga1 Ga 0.1691 0.3381 0.6818
Cu1 Cu 0.0000 0.0000 0.0000
Cu2 Cu 0.0000 0.5000 0.0000
```